Record 1
Material: YPuPb2O8
Method: DFT, PBE
State: relaxed

```
YPuPb2O8
1.0
-3.521 -2.760 2.604
3.683 -3.341 1.430
1.221 3.755 5.630
Y Pu Pb O
1 1 2 8
direct
0.000 0.000 0.500
0.000 0.000 0.000
0.500 0.500 0.750
0.500 0.500 0.250
0.183 0.816 0.227
0.699 0.701 0.000
0.817 0.184 0.227
0.817 0.184 0.773
0.301 0.299 0.000
0.183 0.816 0.773
0.691 0.692 0.500
0.309 0.308 0.500
```

Calculated values
* calculated total energy: -7.629 eV per atom
* ΔE_f (raw): -1.973 eV per atom

***

Record 2
Material: YPuPbO6
Method: DFT, PBE
State: relaxed

```
YPuPbO6
1.0
5.828 0.000 0.000
-2.914 5.047 0.000
0.000 0.000 10.171
Y Pu Pb O
2 2 2 12
direct
0.333 0.667 0.250
0.667 0.333 0.750
0.667 0.333 0.250
0.333 0.667 0.750
0.000 0.000 0.000
0.000 0.000 0.500
0.650 0.617 0.143
0.967 0.350 0.143
0.350 0.967 0.643
0.033 0.650 0.857
0.383 0.350 0.357
0.967 0.617 0.357
0.617 0.967 0.857
0.650 0.033 0.357
0.033 0.383 0.643
0.383 0.033 0.143
0.617 0.650 0.643
0.350 0.383 0.857
```

Calculated values
* calculated total energy: -8.429 eV per atom
* ΔE_f (raw): -2.401 eV per atom

***

Record 3
Material: Pu2ZnPbO8
Method: DFT, PBE
State: relaxed

```
Pu2ZnPbO8
1.0
5.301 0.000 0.000
0.000 5.301 0.000
-2.651 -2.651 5.347
Pu Zn Pb O
2 1 1 8
direct
0.500 0.500 0.000
0.250 0.750 0.500
0.000 0.000 0.000
0.750 0.250 0.500
0.859 0.859 0.291
0.432 0.432 0.291
0.646 0.681 0.792
0.147 0.111 0.792
0.889 0.354 0.208
0.319 0.853 0.208
0.141 0.568 0.709
0.568 0.141 0.709
```

Calculated values
* calculated total energy: -8.040 eV per atom
* ΔE_f (raw): -1.930 eV per atom

***

Record 4
Material: PuZnPbO6
Method: DFT, PBE
State: relaxed

```
PuZnPbO6
1.0
5.398 0.000 0.000
-2.699 4.674 0.000
0.000 0.000 10.047
Pu Zn Pb O
2 2 2 12
direct
0.667 0.333 0.250
0.333 0.667 0.750
0.333 0.667 0.250
0.667 0.333 0.750
0.000 0.000 0.000
0.000 0.000 0.500
0.652 0.638 0.138
0.986 0.348 0.138
0.348 0.986 0.638
0.014 0.652 0.862
0.362 0.348 0.362
0.986 0.638 0.362
0.638 0.986 0.862
0.652 0.014 0.362
0.014 0.362 0.638
0.362 0.014 0.138
0.638 0.652 0.638
0.348 0.362 0.862
```

Calculated values
* calculated total energy: -7.101 eV per atom
* ΔE_f (raw): -1.649 eV per atom

***

Record 5
Material: PuZn2PbO6
Method: DFT, PBE
State: relaxed

```
PuZn2PbO6
1.0
-4.466 1.099 -3.535
-3.671 -4.013 -1.758
-6.125 0.297 1.942
Pu Zn Pb O
1 2 1 6
direct
0.317 0.319 0.042
0.513 0.518 0.374
0.005 0.093 0.910
0.794 0.820 0.567
0.616 0.227 0.221
0.271 0.924 0.244
0.908 0.514 0.286
0.336 0.723 0.841
0.721 0.133 0.791
0.181 0.390 0.740
```

Calculated values
* calculated total energy: -6.758 eV per atom
* ΔE_f (raw): -1.724 eV per atom

***

Record 6
Material: PuZnPb2O6
Method: DFT, PBE
State: relaxed

```
PuZnPb2O6
1.0
-0.739 -2.046 -5.451
4.899 -3.241 0.552
-4.532 -6.318 3.126
Pu Zn Pb O
2 2 4 12
direct
0.500 0.000 0.500
0.000 0.500 0.000
0.500 0.000 0.000
0.000 0.500 0.500
0.983 0.960 0.263
0.483 0.540 0.763
0.017 0.040 0.737
0.517 0.460 0.237
0.300 0.696 0.021
0.800 0.804 0.521
0.700 0.304 0.979
0.200 0.196 0.479
0.310 0.726 0.467
0.810 0.774 0.967
0.690 0.274 0.533
0.190 0.226 0.033
0.933 0.527 0.254
0.433 0.973 0.755
0.067 0.473 0.746
0.567 0.027 0.245
```

Calculated values
* calculated total energy: -6.990 eV per atom
* ΔE_f (raw): -1.713 eV per atom

***

Record 7
Material: PuZrPb2O6
Method: DFT, PBE
State: relaxed

```
PuZrPb2O6
1.0
-1.797 -3.152 -4.914
5.313 -2.850 -0.114
-3.290 0.044 5.049
Pu Zr Pb O
1 1 2 6
direct
0.000 0.500 0.000
0.500 0.000 0.000
0.223 0.253 0.506
0.777 0.747 0.494
0.341 0.755 0.509
0.202 0.190 0.889
0.798 0.302 0.111
0.202 0.698 0.889
0.798 0.810 0.111
0.659 0.245 0.491
```

Calculated values
* calculated total energy: -8.307 eV per atom
* ΔE_f (raw): -2.302 eV per atom

***

Record 8
Material: RbPbO2
Method: DFT, PBE
State: relaxed

```
RbPbO2
1.0
5.976 0.000 0.197
0.000 5.832 0.000
0.506 0.000 10.321
Rb Pb O
4 4 8
direct
0.000 0.271 0.624
0.000 0.729 0.376
0.500 0.271 0.876
0.500 0.729 0.124
0.548 0.195 0.377
0.452 0.805 0.623
0.952 0.195 0.123
0.048 0.805 0.877
0.006 0.821 0.099
0.994 0.179 0.901
0.494 0.821 0.401
0.506 0.179 0.599
0.415 0.769 0.848
0.585 0.231 0.152
0.085 0.769 0.652
0.915 0.231 0.348
```

Calculated values
* calculated total energy: -4.704 eV per atom
* ΔE_f (raw): -1.056 eV per atom

***

Repeat the fifth record exactly.
Material: PuZn2PbO6
Method: DFT, PBE
State: relaxed

```
PuZn2PbO6
1.0
-4.466 1.099 -3.535
-3.671 -4.013 -1.758
-6.125 0.297 1.942
Pu Zn Pb O
1 2 1 6
direct
0.317 0.319 0.042
0.513 0.518 0.374
0.005 0.093 0.910
0.794 0.820 0.567
0.616 0.227 0.221
0.271 0.924 0.244
0.908 0.514 0.286
0.336 0.723 0.841
0.721 0.133 0.791
0.181 0.390 0.740
```

Calculated values
* calculated total energy: -6.758 eV per atom
* ΔE_f (raw): -1.724 eV per atom

***

- The highest calculated total energy belongs to which entry?
  RbPbO2